1.
A relaxed TlAg2Sb2 crystal. Source: the Alexandria database, functional GGA-PBE.

Cell: 4.574 4.574 12.621 Å, 90.00 90.00 90.00°
Positions (direct):
Tl: 0.250 0.250 0.239
Tl: 0.750 0.750 0.761
Ag: 0.250 0.250 0.646
Ag: 0.250 0.750 0.000
Ag: 0.750 0.250 0.000
Ag: 0.750 0.750 0.354
Sb: 0.250 0.250 0.865
Sb: 0.250 0.750 0.500
Sb: 0.750 0.250 0.500
Sb: 0.750 0.750 0.135

* M_tot: 0.000 μB per formula unit
* Fermi-level density of states: 0.5140 states/eV per atom
* E above lowest polymorph: 0.013 eV/atom
* V: 26.407 A^3/atom
* formation energy from raw total energies: 20 kJ/mol of formula units

=====

2.
A relaxed Ac crystal. Source: the Alexandria database, functional GGA-PBE.

Cell: 5.658 5.658 5.658 Å, 60.00 60.00 60.00°
Positions (direct):
Ac: 0.125 0.125 0.125
Ac: 0.875 0.875 0.875

* M_tot: 0.000 μB per formula unit
* Fermi-level density of states: 2.3299 states/eV per atom
* E above lowest polymorph: 1.636 eV/atom
* V: 64.055 A^3/atom

=====

3.
A relaxed HfNb2Fe crystal. Source: the Alexandria database, functional GGA-PBE.

Cell: 3.138 8.776 5.309 Å, 90.00 106.81 90.00°
Positions (direct):
Hf: 0.083 0.250 0.164
Hf: 0.917 0.750 0.836
Nb: 0.364 0.049 0.732
Nb: 0.364 0.451 0.732
Nb: 0.636 0.549 0.268
Nb: 0.636 0.951 0.268
Fe: 0.209 0.750 0.417
Fe: 0.791 0.250 0.583

* M_tot: 0.000 μB per formula unit
* Fermi-level density of states: 0.9897 states/eV per atom
* E above lowest polymorph: 0.000 eV/atom
* V: 17.493 A^3/atom

=====

4.
A relaxed Nd7SmGa4 crystal. Source: the Alexandria database, functional GGA-PBE.

Cell: 7.520 7.520 10.601 Å, 121.16 121.16 44.34°
Positions (direct):
Nd: 0.000 0.000 0.000
Nd: 0.205 0.205 0.644
Nd: 0.295 0.295 0.121
Nd: 0.434 0.434 0.612
Nd: 0.566 0.566 0.388
Nd: 0.705 0.705 0.879
Nd: 0.795 0.795 0.356
Sm: 0.500 0.500 0.000
Ga: 0.052 0.052 0.757
Ga: 0.179 0.179 0.331
Ga: 0.821 0.821 0.669
Ga: 0.948 0.948 0.243

* raw total energy: -4.388 eV per atom
* M_tot: 0.135 μB per formula unit
* Fermi-level density of states: 1.0681 states/eV per atom
* V: 28.958 A^3/atom

=====

5.
A relaxed Er2Th2Bi5 crystal. Source: the Alexandria database, functional GGA-PBE.

Cell: 9.067 9.067 8.471 Å, 90.00 90.00 55.53°
Positions (direct):
Er: 0.150 0.850 0.848
Er: 0.350 0.650 0.348
Er: 0.650 0.350 0.652
Er: 0.850 0.150 0.152
Th: 0.194 0.194 0.500
Th: 0.306 0.306 0.000
Th: 0.694 0.694 0.000
Th: 0.806 0.806 0.500
Bi: 0.000 0.000 0.500
Bi: 0.019 0.707 0.154
Bi: 0.207 0.519 0.654
Bi: 0.293 0.981 0.154
Bi: 0.481 0.793 0.654
Bi: 0.500 0.500 0.000
Bi: 0.519 0.207 0.346
Bi: 0.707 0.019 0.846
Bi: 0.793 0.481 0.346
Bi: 0.981 0.293 0.846

* raw total energy: -5.392 eV per atom
* M_tot: 0.000 μB per formula unit
* Fermi-level density of states: 0.5633 states/eV per atom
* V: 31.898 A^3/atom

=====

6.
A relaxed Fe5NiPt4 crystal. Source: the Alexandria database, functional GGA-PBE.

Cell: 2.711 3.673 13.554 Å, 90.00 90.00 90.00°
Positions (direct):
Fe: 0.000 0.000 0.000
Fe: 0.000 0.000 0.206
Fe: 0.000 0.000 0.411
Fe: 0.000 0.000 0.589
Fe: 0.000 0.000 0.794
Ni: 0.500 0.500 0.500
Pt: 0.500 0.500 0.103
Pt: 0.500 0.500 0.309
Pt: 0.500 0.500 0.691
Pt: 0.500 0.500 0.897

* raw total energy: -7.423 eV per atom
* M_tot: 3.295 μB per formula unit
* Fermi-level density of states: 0.8037 states/eV per atom
* V: 13.495 A^3/atom

=====

7.
A relaxed TlGaI2Br crystal. Source: the Alexandria database, functional GGA-PBE.

Cell: 5.870 5.870 5.322 Å, 90.00 90.00 90.00°
Positions (direct):
Tl: 0.000 0.000 0.000
Ga: 0.500 0.500 0.500
I: 0.000 0.500 0.500
I: 0.500 0.000 0.500
Br: 0.500 0.500 0.000

* M_tot: 0.000 μB per formula unit
* Fermi-level density of states: 0.3039 states/eV per atom
* V: 36.674 A^3/atom
* formation energy from raw total energies: -246 kJ/mol of formula units

=====

8.
A relaxed CaPrSm3 crystal. Source: the Alexandria database, functional GGA-PBE.

Cell: 12.489 12.489 12.489 Å, 28.60 28.60 28.60°
Positions (direct):
Ca: 0.166 0.166 0.166
Ca: 0.834 0.834 0.834
Pr: 0.334 0.334 0.334
Pr: 0.666 0.666 0.666
Sm: 0.083 0.747 0.412
Sm: 0.253 0.588 0.917
Sm: 0.412 0.083 0.747
Sm: 0.588 0.917 0.253
Sm: 0.747 0.412 0.083
Sm: 0.917 0.253 0.588

* M_tot: 0.000 μB per formula unit
* Fermi-level density of states: 1.5802 states/eV per atom
* E above lowest polymorph: 0.179 eV/atom
* V: 39.461 A^3/atom

=====

9.
A relaxed Sc3NiS crystal. Source: the Alexandria database, functional GGA-PBE.

Cell: 4.750 4.750 4.750 Å, 90.00 90.00 90.00°
Positions (direct):
Sc: 0.000 0.000 0.500
Sc: 0.000 0.500 0.000
Sc: 0.500 0.000 0.000
Ni: 0.500 0.500 0.500
S: 0.000 0.000 0.000

* M_tot: 0.000 μB per formula unit
* Fermi-level density of states: 1.8719 states/eV per atom
* E above lowest polymorph: 0.000 eV/atom
* V: 21.428 A^3/atom
* formation energy from raw total energies: -199 kJ/mol of formula units

=====

10.
A relaxed Ti2Zn2As crystal. Source: the Alexandria database, functional GGA-PBE.

Cell: 6.516 6.516 4.120 Å, 90.00 90.00 90.00°
Positions (direct):
Ti: 0.156 0.344 0.000
Ti: 0.344 0.844 0.000
Ti: 0.656 0.156 0.000
Ti: 0.844 0.656 0.000
Zn: 0.142 0.642 0.500
Zn: 0.358 0.142 0.500
Zn: 0.642 0.858 0.500
Zn: 0.858 0.358 0.500
As: 0.000 0.000 0.000
As: 0.500 0.500 0.000

* M_tot: 0.807 μB per formula unit
* Fermi-level density of states: 0.9435 states/eV per atom
* E above lowest polymorph: 0.000 eV/atom
* V: 17.495 A^3/atom

=====

11.
A relaxed Ba2AlI crystal. Source: the Alexandria database, functional GGA-PBE.

Cell: 4.108 4.108 9.383 Å, 90.00 90.00 90.00°
Positions (direct):
Ba: 0.000 0.000 0.225
Ba: 0.000 0.000 0.775
Al: 0.500 0.500 0.000
I: 0.500 0.500 0.500

* M_tot: 0.000 μB per formula unit
* Fermi-level density of states: 0.6186 states/eV per atom
* E above lowest polymorph: 0.046 eV/atom
* V: 39.586 A^3/atom
* formation energy from raw total energies: -264 kJ/mol of formula units

=====

12.
A relaxed NdGdTmAg crystal. Source: the Alexandria database, functional GGA-PBE.

Cell: 5.428 5.428 5.428 Å, 60.00 60.00 60.00°
Positions (direct):
Nd: 0.000 0.000 0.000
Gd: 0.500 0.500 0.500
Tm: 0.750 0.750 0.750
Ag: 0.250 0.250 0.250

* raw total energy: -6.497 eV per atom
* M_tot: 7.482 μB per formula unit
* Fermi-level density of states: 0.9125 states/eV per atom
* V: 28.273 A^3/atom

=====

13.
A relaxed Si2HgAu crystal. Source: the Alexandria database, functional GGA-PBE.

Cell: 3.055 3.055 8.254 Å, 90.00 90.00 90.00°
Positions (direct):
Si: 0.000 0.000 0.212
Si: 0.000 0.000 0.788
Hg: 0.500 0.500 0.500
Au: 0.500 0.500 0.000

* M_tot: 0.000 μB per formula unit
* Fermi-level density of states: 0.1203 states/eV per atom
* V: 19.257 A^3/atom
* formation energy from raw total energies: 160 kJ/mol of formula units

=====

14.
A relaxed LaErCd crystal. Source: the Alexandria database, functional GGA-PBE.

Cell: 8.081 8.081 3.415 Å, 90.00 90.00 95.11°
Positions (direct):
La: 0.235 0.765 0.000
La: 0.765 0.235 0.000
Er: 0.000 0.000 0.500
Er: 0.500 0.500 0.000
Cd: 0.269 0.269 0.500
Cd: 0.731 0.731 0.500

* M_tot: 0.001 μB per formula unit
* Fermi-level density of states: 1.4766 states/eV per atom
* E above lowest polymorph: 0.653 eV/atom
* V: 37.021 A^3/atom

=====

15.
A relaxed BaTiGa2Co crystal. Source: the Alexandria database, functional GGA-PBE.

Cell: 5.194 5.194 4.435 Å, 90.00 90.00 90.00°
Positions (direct):
Ba: 0.000 0.000 0.000
Ti: 0.500 0.500 0.500
Ga: 0.000 0.500 0.500
Ga: 0.500 0.000 0.500
Co: 0.500 0.500 0.000

* raw total energy: -4.461 eV per atom
* M_tot: 0.841 μB per formula unit
* Fermi-level density of states: 0.8348 states/eV per atom
* V: 23.926 A^3/atom

=====

16.
A relaxed LaZn2Se crystal. Source: the Alexandria database, functional GGA-PBE.

Cell: 5.742 5.742 5.742 Å, 47.31 47.31 47.31°
Positions (direct):
La: 0.000 0.000 0.000
Zn: 0.226 0.226 0.226
Zn: 0.774 0.774 0.774
Se: 0.500 0.500 0.500

* M_tot: 0.000 μB per formula unit
* Fermi-level density of states: 0.7439 states/eV per atom
* V: 23.387 A^3/atom
* formation energy from raw total energies: -142 kJ/mol of formula units

=====

17.
A relaxed Pr8CoP3Cl4 crystal. Source: the Alexandria database, functional GGA-PBE.

Cell: 8.515 8.515 8.515 Å, 58.66 58.66 58.66°
Positions (direct):
Pr: 0.240 0.240 0.240
Pr: 0.251 0.731 0.731
Pr: 0.269 0.269 0.749
Pr: 0.269 0.749 0.269
Pr: 0.731 0.251 0.731
Pr: 0.731 0.731 0.251
Pr: 0.749 0.269 0.269
Pr: 0.760 0.760 0.760
Co: 0.500 0.500 0.500
P: 0.000 0.000 0.500
P: 0.000 0.500 0.000
P: 0.500 0.000 0.000
Cl: 0.000 0.000 0.000
Cl: 0.000 0.500 0.500
Cl: 0.500 0.000 0.500
Cl: 0.500 0.500 0.000

* M_tot: 0.000 μB per formula unit
* Fermi-level density of states: 0.5051 states/eV per atom
* V: 26.448 A^3/atom
* formation energy from raw total energies: -2151 kJ/mol of formula units

=====

18.
A relaxed Ti6CrPd12 crystal. Source: the Alexandria database, functional GGA-PBE.

Cell: 6.689 6.689 6.689 Å, 89.88 89.88 89.88°
Positions (direct):
Ti: 0.213 0.379 0.761
Ti: 0.239 0.787 0.621
Ti: 0.379 0.761 0.213
Ti: 0.621 0.239 0.787
Ti: 0.761 0.213 0.379
Ti: 0.787 0.621 0.239
Cr: 0.500 0.500 0.500
Pd: 0.037 0.939 0.298
Pd: 0.061 0.702 0.963
Pd: 0.138 0.476 0.353
Pd: 0.298 0.037 0.939
Pd: 0.353 0.138 0.476
Pd: 0.476 0.353 0.138
Pd: 0.524 0.647 0.862
Pd: 0.647 0.862 0.524
Pd: 0.702 0.963 0.061
Pd: 0.862 0.524 0.647
Pd: 0.939 0.298 0.037
Pd: 0.963 0.061 0.702

* raw total energy: -6.697 eV per atom
* M_tot: 1.307 μB per formula unit
* Fermi-level density of states: 0.8331 states/eV per atom
* V: 15.750 A^3/atom

=====

19.
A relaxed CaLaPCl crystal. Source: the Alexandria database, functional GGA-PBE.

Cell: 7.705 7.705 7.705 Å, 30.99 30.99 30.99°
Positions (direct):
Ca: 0.000 0.000 0.000
La: 0.810 0.810 0.810
P: 0.401 0.401 0.401
Cl: 0.576 0.576 0.576

* M_tot: 0.808 μB per formula unit
* Fermi-level density of states: 0.3624 states/eV per atom
* V: 26.898 A^3/atom
* formation energy from raw total energies: -619 kJ/mol of formula units

=====

20.
A relaxed Ce5PuAlGe2 crystal. Source: the Alexandria database, functional GGA-PBE.

Cell: 9.543 9.543 9.543 Å, 133.42 133.42 67.99°
Positions (direct):
Ce: 0.000 0.000 0.000
Ce: 0.044 0.544 0.861
Ce: 0.183 0.044 0.500
Ce: 0.317 0.817 0.861
Ce: 0.456 0.317 0.500
Ce: 0.500 0.500 0.000
Ce: 0.544 0.683 0.500
Ce: 0.683 0.183 0.139
Ce: 0.817 0.956 0.500
Ce: 0.956 0.456 0.139
Pu: 0.250 0.750 0.500
Pu: 0.750 0.250 0.500
Al: 0.250 0.250 0.000
Al: 0.750 0.750 0.000
Ge: 0.121 0.379 0.500
Ge: 0.379 0.879 0.257
Ge: 0.621 0.121 0.743
Ge: 0.879 0.621 0.500

* raw total energy: -6.690 eV per atom
* M_tot: 8.072 μB per formula unit
* Fermi-level density of states: 2.0618 states/eV per atom
* V: 25.031 A^3/atom